Computed, not measured: an optimized crystal structure of AlCdRh3 at the PBE level of DFT.

uncorrected energy	-25.091	eV/f.u.
spin magnetization	1.32	μB per formula unit
DFT formation energy	1.622	eV per formula unit
DOS at the Fermi energy	1.25	states/eV per atom

Cell lengths 4.485, 4.485, 4.485 Å; angles 90.00, 90.00, 90.00 degrees
Space group Pm-3m (No. 221)
Unique sites:
Al (0.000, 0.000, 0.000) (multiplicity 1)
Cd (0.500, 0.500, 0.500) (multiplicity 1)
Rh (0.000, 0.000, 0.500) (multiplicity 3)

=====

Computed, not measured: an optimized crystal structure of AlCdRh2 at the PBE level of DFT.

uncorrected energy	-20.008	eV/f.u.
spin magnetization	0.00	μB per formula unit
DFT formation energy	-0.647	eV per formula unit
DOS at the Fermi energy	1.65	states/eV per atom

Cell lengths 6.304, 6.304, 6.304 Å; angles 90.00, 90.00, 90.00 degrees
Space group F-43m (No. 216)
Unique sites:
Al (0.000, 0.000, 0.000) (multiplicity 4)
Cd (0.250, 0.250, 0.750) (multiplicity 4)
Rh (0.000, 0.000, 0.500) (multiplicity 4)
Rh (0.250, 0.250, 0.250) (multiplicity 4)

=====

Computed, not measured: an optimized crystal structure of AlCdRh2 at the PBE level of DFT.

uncorrected energy	-20.817	eV/f.u.
spin magnetization	0.00	μB per formula unit
DFT formation energy	-1.456	eV per formula unit
DOS at the Fermi energy	0.95	states/eV per atom

Cell lengths 9.764, 2.943, 4.589 Å; angles 90.00, 108.82, 90.00 degrees
Space group Cm (No. 8)
Unique sites:
Al (0.000, 0.000, 0.000) (multiplicity 2)
Cd (0.270, 0.500, 0.388) (multiplicity 2)
Rh (0.022, 0.500, 0.517) (multiplicity 2)
Rh (0.267, 0.000, 0.893) (multiplicity 2)

=====

Computed, not measured: an optimized crystal structure of AlCdRh4 at the PBE level of DFT.

uncorrected energy	-34.054	eV/f.u.
spin magnetization	0.00	μB per formula unit
DFT formation energy	0.009	eV per formula unit
DOS at the Fermi energy	1.16	states/eV per atom

Cell lengths 7.289, 7.289, 7.289 Å; angles 90.00, 90.00, 90.00 degrees
Space group F-43m (No. 216)
Unique sites:
Al (0.000, 0.000, 0.000) (multiplicity 4)
Cd (0.250, 0.250, 0.750) (multiplicity 4)
Rh (0.125, 0.125, 0.375) (multiplicity 16)

=====

Computed, not measured: an optimized crystal structure of AlCdRh2 at the PBE level of DFT.

uncorrected energy	-19.746	eV/f.u.
spin magnetization	0.77	μB per formula unit
DFT formation energy	-0.385	eV per formula unit
DOS at the Fermi energy	0.76	states/eV per atom

Cell lengths 2.8802, 2.8802, 26.7461 Å; angles 90.00, 90.00, 120.00 degrees
Space group R3m (No. 160, hexagonal axes)
Unique sites:
Al (0.0000, 0.0000, 0.0000) (multiplicity 3)
Cd (0.0000, 0.0000, 0.2389) (multiplicity 3)
Rh (0.0000, 0.0000, 0.4857) (multiplicity 3)
Rh (0.0000, 0.0000, 0.7367) (multiplicity 3)

=====

Computed, not measured: an optimized crystal structure of AlCd2Rh at the PBE level of DFT.

uncorrected energy	-13.225	eV/f.u.
spin magnetization	0.00	μB per formula unit
DFT formation energy	-0.301	eV per formula unit
DOS at the Fermi energy	0.41	states/eV per atom

Cell lengths 5.603, 9.950, 2.994 Å; angles 90.00, 121.74, 90.00 degrees
Space group C2/m (No. 12)
Unique sites:
Al (0.000, 0.000, 0.000) (multiplicity 2)
Cd (0.250, 0.250, 0.500) (multiplicity 4)
Rh (0.000, 0.500, 0.000) (multiplicity 2)

=====

Repeat the first record exactly.
Computed, not measured: an optimized crystal structure of AlCdRh3 at the PBE level of DFT.

uncorrected energy	-25.091	eV/f.u.
spin magnetization	1.32	μB per formula unit
DFT formation energy	1.622	eV per formula unit
DOS at the Fermi energy	1.25	states/eV per atom

Cell lengths 4.485, 4.485, 4.485 Å; angles 90.00, 90.00, 90.00 degrees
Space group Pm-3m (No. 221)
Unique sites:
Al (0.000, 0.000, 0.000) (multiplicity 1)
Cd (0.500, 0.500, 0.500) (multiplicity 1)
Rh (0.000, 0.000, 0.500) (multiplicity 3)

=====

Q: What is the formula in the sixth record?
A: AlCd2Rh

=====

Q: Which formula does entry 4 have?
A: AlCdRh4

=====

What did the second record say?
Computed, not measured: an optimized crystal structure of AlCdRh2 at the PBE level of DFT.

uncorrected energy	-20.008	eV/f.u.
spin magnetization	0.00	μB per formula unit
DFT formation energy	-0.647	eV per formula unit
DOS at the Fermi energy	1.65	states/eV per atom

Cell lengths 6.304, 6.304, 6.304 Å; angles 90.00, 90.00, 90.00 degrees
Space group F-43m (No. 216)
Unique sites:
Al (0.000, 0.000, 0.000) (multiplicity 4)
Cd (0.250, 0.250, 0.750) (multiplicity 4)
Rh (0.000, 0.000, 0.500) (multiplicity 4)
Rh (0.250, 0.250, 0.250) (multiplicity 4)